[1]
A relaxed Rb2PbO2 crystal. Source: the Alexandria database, functional PBE. Values from VASP.

Output
Energy relative to the lowest polymorph listed for this composition   0.356 eV/atom
Symmetry   I4/mmm (139)
Magnetization   0.66 μB/cell

The structure in Quantum ESPRESSO input format:
```
&SYSTEM
  ibrav = 0, nat = 10, ntyp = 3
/
ATOMIC_SPECIES
Rb 85.47 Rb.upf
Pb 207.20 Pb.upf
O 16.00 O.upf
ATOMIC_POSITIONS crystal
Rb 0.000 0.000 0.172
Rb 0.000 0.000 0.828
Rb 0.500 0.500 0.328
Rb 0.500 0.500 0.672
Pb 0.000 0.000 0.500
Pb 0.500 0.500 0.000
O 0.000 0.000 0.361
O 0.000 0.000 0.639
O 0.500 0.500 0.139
O 0.500 0.500 0.861
CELL_PARAMETERS angstrom
4.100 0.000 0.000
0.000 4.100 0.000
0.000 0.000 15.837
```


[2]
A relaxed RbPb4O8 crystal. Source: the Alexandria database, functional PBE. Values from VASP.

Output
Energy   -68.51 eV per cell
Symmetry   Cm (8)
Magnetization   0.00 μB/cell

The structure in Quantum ESPRESSO input format:
```
&SYSTEM
  ibrav = 0, nat = 13, ntyp = 3
/
ATOMIC_SPECIES
Rb 85.47 Rb.upf
Pb 207.20 Pb.upf
O 16.00 O.upf
ATOMIC_POSITIONS crystal
Rb 0.000 0.000 0.000
Pb 0.147 0.147 0.480
Pb 0.339 0.339 0.184
Pb 0.661 0.661 0.817
Pb 0.853 0.853 0.520
O 0.042 0.042 0.729
O 0.291 0.291 0.939
O 0.341 0.341 0.643
O 0.351 0.351 0.393
O 0.649 0.649 0.608
O 0.659 0.659 0.358
O 0.709 0.709 0.061
O 0.957 0.957 0.272
CELL_PARAMETERS angstrom
7.911 -1.747 0.000
7.911 1.747 0.000
-7.570 0.000 8.091
```


[3]
A relaxed RbPbO crystal. Source: the Alexandria database, functional PBE. Values from VASP.

Output
Energy relative to the lowest polymorph listed for this composition   0.066 eV/atom
Symmetry   Immm (71)
Magnetization   0.00 μB/cell

The structure in Quantum ESPRESSO input format:
```
&SYSTEM
  ibrav = 0, nat = 12, ntyp = 3
/
ATOMIC_SPECIES
Rb 85.47 Rb.upf
Pb 207.20 Pb.upf
O 16.00 O.upf
ATOMIC_POSITIONS crystal
Rb 0.000 0.000 0.174
Rb 0.000 0.000 0.826
Rb 0.500 0.500 0.326
Rb 0.500 0.500 0.674
Pb 0.000 0.245 0.500
Pb 0.000 0.755 0.500
Pb 0.500 0.255 0.000
Pb 0.500 0.745 0.000
O 0.000 0.000 0.383
O 0.000 0.000 0.617
O 0.500 0.500 0.117
O 0.500 0.500 0.883
CELL_PARAMETERS angstrom
6.434 0.000 0.000
0.000 6.763 0.000
0.000 0.000 12.546
```